# PBE LaSm2Lu, relaxed
# Energy of formation from the pure elements, eV/atom: 0.023
# Calculated total energy, Ry per atom: -0.3453
# Excess energy over the best structure of this formula in the dataset, kJ/mol of atoms: 0.0
data_LaSm2Lu
_cell_length_a 5.089
_cell_length_b 5.089
_cell_length_c 5.156
_cell_angle_alpha 90.00
_cell_angle_beta 90.00
_cell_angle_gamma 90.00
_symmetry_space_group_name_H-M 'P 4/m m m'
_symmetry_Int_Tables_number 123
_symmetry_space_group_name_Hall '-P 4 2'
loop_
_atom_site_label
_atom_site_fract_x
_atom_site_fract_y
_atom_site_fract_z
La1 0.000 0.000 0.000
Sm1 0.000 0.500 0.500
Lu1 0.500 0.500 0.000